Record 1
Dy4TlHg5 | PBE | relaxed

Lattice parameters (Å, degrees): 3.7741 3.7741 18.1864 90.00 90.00 90.00
With the nearest neighbours (Å) after each atom.
Space group P4/mmm (No. 123)
Symmetry-distinct sites (fractional):
Dy  0.0000  0.0000  0.1008 [2 per cell]  8 Hg 3.20-3.24
Dy  0.0000  0.0000  0.3027 [2 per cell]  8 Hg 3.14-3.28
Tl  0.0000  0.0000  0.5000 [1 per cell]  8 Hg 3.29, 2 Dy 3.59
Hg  0.5000  0.5000  0.0000 [1 per cell]  8 Dy 3.24, 2 Hg 3.60
Hg  0.5000  0.5000  0.1980 [2 per cell]  8 Dy 3.20-3.28, 1 Hg 3.57
Hg  0.5000  0.5000  0.3940 [2 per cell]  4 Dy 3.14, 4 Tl 3.29

---

Record 2
Dy4Tl3Hg | PBE | relaxed

Lattice parameters (Å, degrees): 4.3356 4.5137 11.5537 90.00 90.00 90.00
With the nearest neighbours (Å) after each atom.
Space group Pmm2 (No. 25)
Symmetry-distinct sites (fractional):
Dy  0.0000  0.0000  0.0000 [1 per cell]  5 Tl 3.17, 2 Hg 3.40
Dy  0.0000  0.5000  0.2694 [1 per cell]  3 Tl 3.15-3.40, 4 Hg 3.17
Dy  0.5000  0.0000  0.4930 [1 per cell]  1 Hg 3.07, 4 Tl 3.18
Dy  0.5000  0.5000  0.7719 [1 per cell]  7 Tl 3.14-3.43
Tl  0.0000  0.0000  0.7259 [1 per cell]  2 Tl 3.10, 7 Dy 3.17-3.46
Tl  0.0000  0.5000  0.5423 [1 per cell]  2 Tl 3.10, 7 Dy 3.15-3.43
Tl  0.5000  0.5000  0.0433 [1 per cell]  2 Hg 3.10, 7 Dy 3.14-3.40
Hg  0.5000  0.0000  0.2271 [1 per cell]  7 Dy 3.07-3.40, 2 Tl 3.10

Computed properties:
**Energy above the lowest structure with this stoichiometry**: 0.36 eV/f.u.

---

Record 3
Dy2TlHg4 | PBE | relaxed

Lattice parameters (Å, degrees): 5.7398 5.7398 12.1669 90.00 90.00 90.00
With the nearest neighbours (Å) after each atom.
Space group I4/mmm (No. 139)
Symmetry-distinct sites (fractional):
Dy  0.0000  0.0000  0.1425 [4 per cell]  8 Hg 3.15-3.35, 1 Dy 3.47
Tl  0.0000  0.0000  0.5000 [2 per cell]  4 Hg 2.87
Hg  0.0000  0.5000  0.0000 [4 per cell]  2 Tl 2.87, 2 Hg 3.04
Hg  0.0000  0.5000  0.2500 [4 per cell]  2 Hg 3.04, 4 Dy 3.15

Computed properties:
**Energy above the lowest structure with this stoichiometry**: 1.27 eV/f.u.

---

no.,ΔH_f (0 K) (eV per atom),electronic total energy (eV for the cell shown),density of states at the Fermi level (states/eV/atom)
1,-0.394,-26.23,0.761
2,-0.333,-28.47,0.788
3,-0.089,-26.80,1.028